The following is a DFT calculation (PBE) of crystalline CePm3Sb4 at its relaxed geometry.

Properties
uncorrected formation energy = -1155 meV/atom
DOS(E_F) = 0.940 states/eV per atom

Cell: 8.9966 12.6999 4.4904 Å, 90.00 90.00 90.00°
With the nearest neighbours (Å) after each atom.
Space group Cmmm (No. 65)
Inequivalent atoms, fractional coordinates:
Ce (0.0000, 0.0000, 0.0000) (multiplicity 2)  6 Sb 3.16-3.17
Pm (0.0000, 0.5000, 0.0000) (multiplicity 2)  6 Sb 3.18-3.19
Pm (0.2500, 0.2500, 0.5000) (multiplicity 4)  6 Sb 3.17-3.18
Sb (0.0000, 0.2491, 0.0000) (multiplicity 4)  1 Ce 3.16, 5 Pm 3.18-3.19
Sb (0.2490, 0.0000, 0.5000) (multiplicity 4)  2 Ce 3.17, 4 Pm 3.17-3.18